# 1
DFT (PBE) results for a geometry-optimized BeCrMo2 structure.

Cell lengths 2.632, 2.632, 7.957 Å; angles 90.00, 90.00, 106.39 degrees
Atoms (fractional coordinates):
Cr (0.500, 0.500, 0.750)
Mo (0.000, 0.000, 0.013)
Mo (0.000, 0.000, 0.487)
Be (0.500, 0.500, 0.250)

Summary:
- Space group: Cmmm
- E_tot: -8.64 eV per atom
- E_form: 0.116 eV/atom


# 2
DFT (PBE) results for a geometry-optimized BeCrMo2 structure.

Cell lengths 6.549, 6.549, 5.313 Å; angles 51.95, 51.95, 90.00 degrees
Atoms (fractional coordinates):
Cr (0.000, 0.000, 0.000)
Cr (0.750, 0.250, 0.500)
Mo (0.627, 0.125, 0.250)
Mo (0.123, 0.625, 0.250)
Mo (0.375, 0.373, 0.750)
Mo (0.875, 0.877, 0.750)
Be (0.500, 0.500, 0.000)
Be (0.250, 0.750, 0.500)

Summary:
- Space group: I-42d
- E_tot: -8.07 eV per atom
- E_form: 0.681 eV/atom